Density functional theory data (GGA-PBE) for crystalline MnTl2I2 at its relaxed geometry.

Lattice parameters (Å, degrees): 8.321 8.321 5.119 90.00 90.00 90.00
Atoms (fractional coordinates):
I 0.171 0.671 0.500
I 0.671 0.829 0.500
I 0.829 0.329 0.500
I 0.329 0.171 0.500
Tl 0.350 0.850 0.000
Tl 0.850 0.650 0.000
Tl 0.650 0.150 0.000
Tl 0.150 0.350 0.000
Mn 0.000 0.000 0.000
Mn 0.500 0.500 0.000

Results
The total energy is -33.159 eV per cell. The density is 6.72 g cm⁻³. The energy above the most stable polymorph in this dataset comes out at 0 meV per atom. Its formation energy from raw total energies is 0.42 eV/f.u.


Density functional theory data (GGA-PBE) for crystalline SrAuSe2 at its relaxed geometry.

Lattice parameters (Å, degrees): 5.864 5.864 8.589 70.04 70.04 90.00
Atoms (fractional coordinates):
Sr 0.500 0.500 0.000
Sr 0.250 0.750 0.500
Au 0.000 0.000 0.000
Au 0.750 0.250 0.500
Se 0.694 0.125 0.250
Se 0.056 0.625 0.250
Se 0.375 0.306 0.750
Se 0.875 0.944 0.750

Results
The total energy is -29.822 eV per cell. The density is 5.68 g cm⁻³. The energy above the most stable polymorph in this dataset comes out at 217 meV per atom. Its formation energy from raw total energies is -2.98 eV/f.u.


- The highest formation energy from raw total energies belongs to which entry?
  MnTl2I2


- Which value of formation energy from raw total energies does entry 2 give?
  -2.98 eV/f.u.


- Among the records above, which one has the highest formation energy from raw total energies?
  MnTl2I2


- What is the formation energy from raw total energies in the second record?
  -2.98 eV/f.u.